Material: K2RbS2O6
Method: DFT, PBE
State: relaxed

Structure (extended XYZ):
```
11
Lattice="2.917 1.684 7.332 -2.917 1.684 7.332 0.000 -3.369 7.332" Properties=species:S:1:pos:R:3 pbc="T T T"
K 0.000 0.000 4.322
K 0.000 0.000 17.673
Rb 0.000 0.000 0.000
S 0.000 0.000 9.014
S 0.000 0.000 12.982
O -1.239 -0.716 12.475
O 0.000 -1.431 9.520
O -1.239 0.716 9.520
O 1.239 -0.716 12.475
O 0.000 1.431 12.475
O 1.239 0.716 9.520
```

Uncorrected energy ... -5.342 eV per atom
SG ... R-3m (166)
Spin magnetization ... 0.0885 μB/atom

Material: KRb3S2O8
Method: DFT, PBE
State: relaxed

Structure (extended XYZ):
```
14
Lattice="6.116 0.000 0.000 -3.058 5.297 0.000 0.000 0.000 7.907" Properties=species:S:1:pos:R:3 pbc="T T T"
K 0.000 0.000 0.000
Rb 0.000 0.000 3.954
Rb 0.000 3.531 1.494
Rb 3.058 1.766 6.413
S 0.000 3.531 5.760
S 3.058 1.766 2.147
O 0.000 2.121 6.281
O -1.221 4.236 6.281
O 0.000 3.531 4.281
O 1.837 1.061 1.627
O 1.221 4.236 6.281
O 3.058 1.766 3.626
O 4.279 1.061 1.627
O 3.058 3.176 1.627
```

Uncorrected energy ... -5.570 eV per atom
SG ... P-3m1 (164)
Spin magnetization ... 0.0133 μB/atom

Material: KRb2S2O6
Method: DFT, PBE
State: relaxed

Structure (extended XYZ):
```
11
Lattice="3.142 1.814 7.032 -3.142 1.814 7.032 0.000 -3.629 7.032" Properties=species:S:1:pos:R:3 pbc="T T T"
K 0.000 0.000 0.000
Rb 0.000 0.000 5.470
Rb 0.000 0.000 15.625
S 0.000 0.000 9.067
S 0.000 0.000 12.028
O 0.000 -1.425 8.544
O -1.234 0.713 8.544
O -1.234 -0.713 12.551
O 1.234 0.713 8.544
O 1.234 -0.713 12.551
O 0.000 1.425 12.551
```

Uncorrected energy ... -5.335 eV per atom
SG ... R-3m (166)
Spin magnetization ... 0.0920 μB/atom

Material: K2RbSbO4
Method: DFT, PBE
State: relaxed

Structure (extended XYZ):
```
16
Lattice="6.952 0.000 0.000 0.000 6.952 0.000 0.000 0.000 7.384" Properties=species:S:1:pos:R:3 pbc="T T T"
K 0.000 0.000 0.000
K 0.000 3.476 1.846
K 3.476 0.000 5.538
K 3.476 3.476 3.692
Rb 0.000 3.476 5.538
Rb 3.476 0.000 1.846
Sb 0.000 0.000 3.692
Sb 3.476 3.476 0.000
O 1.041 5.794 2.573
O 1.158 1.041 4.811
O 2.318 2.435 1.119
O 2.435 4.634 6.264
O 4.517 2.318 6.264
O 4.634 4.517 1.119
O 5.794 5.911 4.811
O 5.911 1.158 2.573
```

Uncorrected energy ... -4.924 eV per atom
SG ... I-4 (82)
Spin magnetization ... 0.0016 μB/atom

What did the first record say?
Material: K2RbS2O6
Method: DFT, PBE
State: relaxed

Structure (extended XYZ):
```
11
Lattice="2.917 1.684 7.332 -2.917 1.684 7.332 0.000 -3.369 7.332" Properties=species:S:1:pos:R:3 pbc="T T T"
K 0.000 0.000 4.322
K 0.000 0.000 17.673
Rb 0.000 0.000 0.000
S 0.000 0.000 9.014
S 0.000 0.000 12.982
O -1.239 -0.716 12.475
O 0.000 -1.431 9.520
O -1.239 0.716 9.520
O 1.239 -0.716 12.475
O 0.000 1.431 12.475
O 1.239 0.716 9.520
```

Uncorrected energy ... -5.342 eV per atom
SG ... R-3m (166)
Spin magnetization ... 0.0885 μB/atom

Among the records above, which one has the lowest uncorrected energy? KRb3S2O8

The highest spin magnetization belongs to which entry? KRb2S2O6